Entry 1:
A plane-wave DFT calculation with PBE was carried out for crystalline Pa3NiC3 at its relaxed geometry.

Properties
**Formation enthalpy at 0 K**: -0.3058 eV per atom

```
data_Pa3NiC3
_cell_length_a 7.1843
_cell_length_b 7.1843
_cell_length_c 5.1391
_cell_angle_alpha 90.00
_cell_angle_beta 90.00
_cell_angle_gamma 120.00
_space_group_name_H-M_alt 'P 63/m'
_space_group_IT_number 176
_space_group_name_Hall '-P 6c'
loop_
_atom_site_label
_atom_site_fract_x
_atom_site_fract_y
_atom_site_fract_z
Pa1 0.0733 0.7070 0.2500
Ni1 0.3333 0.6667 0.7500
C1 0.0657 0.6925 0.7500
```

---

Entry 2:
A plane-wave DFT calculation with PBE was carried out for crystalline Li3Y2ThS6 at its relaxed geometry.

Properties
**ΔE_f (raw)**: -1773 meV/atom

```
data_Li3Y2ThS6
_cell_length_a 6.8059
_cell_length_b 11.7974
_cell_length_c 6.6157
_cell_angle_alpha 90.00
_cell_angle_beta 110.00
_cell_angle_gamma 90.00
_space_group_name_H-M_alt 'C 1 2/m 1'
_space_group_IT_number 12
_space_group_name_Hall '-C 2y'
loop_
_atom_site_label
_atom_site_fract_x
_atom_site_fract_y
_atom_site_fract_z
Li1 0.0000 0.0000 0.0000
Li2 0.0000 0.3297 0.0000
Y1 0.0000 0.1663 0.5000
Th1 0.0000 0.5000 0.5000
S1 0.2463 0.1686 0.2432
S2 0.2486 0.0000 0.7576
```

---

Entry 3:
A plane-wave DFT calculation with PBE was carried out for crystalline LiCa2Sn4Pd3 at its relaxed geometry.

Properties
**Formation enthalpy at 0 K**: -0.6089 eV per atom

```
data_LiCa2Sn4Pd3
_cell_length_a 4.5007
_cell_length_b 4.5007
_cell_length_c 11.2651
_cell_angle_alpha 90.00
_cell_angle_beta 90.00
_cell_angle_gamma 90.00
_space_group_name_H-M_alt 'P -4 m 2'
_space_group_IT_number 115
_space_group_name_Hall 'P -4 -2'
loop_
_atom_site_label
_atom_site_fract_x
_atom_site_fract_y
_atom_site_fract_z
Li1 0.0000 0.0000 0.0000
Ca1 0.0000 0.5000 0.7548
Sn1 0.0000 0.0000 0.5000
Sn2 0.0000 0.5000 0.1298
Sn3 0.5000 0.5000 0.5000
Pd1 0.0000 0.5000 0.3642
Pd2 0.5000 0.5000 0.0000
```

---

Entry 4:
A plane-wave DFT calculation with PBE was carried out for crystalline PmPd4Pt at its relaxed geometry.

Properties
**Formation enthalpy at 0 K**: -0.4688 eV per atom
**E above lowest polymorph**: 58 meV/atom

```
data_PmPd4Pt
_cell_length_a 7.5394
_cell_length_b 7.5394
_cell_length_c 7.5394
_cell_angle_alpha 90.00
_cell_angle_beta 90.00
_cell_angle_gamma 90.00
_space_group_name_H-M_alt 'F -4 3 m'
_space_group_IT_number 216
_space_group_name_Hall 'F -4 2 3'
loop_
_atom_site_label
_atom_site_fract_x
_atom_site_fract_y
_atom_site_fract_z
Pm1 0.0000 0.0000 0.0000
Pd1 0.1241 0.1241 0.3759
Pt1 0.2500 0.2500 0.7500
```

---

Entry 5:
A plane-wave DFT calculation with PBE was carried out for crystalline AlPtPb2 at its relaxed geometry.

Properties
**Formation enthalpy at 0 K**: 0.0971 eV per atom

```
data_AlPtPb2
_cell_length_a 3.4935
_cell_length_b 3.4935
_cell_length_c 7.5883
_cell_angle_alpha 90.00
_cell_angle_beta 90.00
_cell_angle_gamma 90.00
_space_group_name_H-M_alt 'P 4/m m m'
_space_group_IT_number 123
_space_group_name_Hall '-P 4 2'
loop_
_atom_site_label
_atom_site_fract_x
_atom_site_fract_y
_atom_site_fract_z
Al1 0.0000 0.0000 0.0000
Pt1 0.0000 0.0000 0.5000
Pb1 0.5000 0.5000 0.2741
```

---

Entry 6:
A plane-wave DFT calculation with PBE was carried out for crystalline Th4InFe2 at its relaxed geometry.

Properties
**Formation enthalpy at 0 K**: -0.0984 eV per atom

```
data_Th4InFe2
_cell_length_a 6.7784
_cell_length_b 6.9528
_cell_length_c 8.7921
_cell_angle_alpha 107.15
_cell_angle_beta 106.40
_cell_angle_gamma 105.08
_space_group_name_H-M_alt 'P 1'
_space_group_IT_number 1
_space_group_name_Hall 'P 1'
loop_
_atom_site_label
_atom_site_fract_x
_atom_site_fract_y
_atom_site_fract_z
Th1 0.0000 0.0000 0.0000
Th2 0.0233 0.7205 0.5913
Th3 0.0963 0.2934 0.7377
Th4 0.2747 0.5977 0.2225
Th5 0.5009 0.5509 0.6146
Th6 0.5512 0.1016 0.7160
Th7 0.6649 0.1644 0.3293
Th8 0.7172 0.5408 0.1072
In1 0.1308 0.0302 0.3795
In2 0.4143 0.8148 0.9501
Fe1 0.0395 0.3784 0.3476
Fe2 0.3571 0.1959 0.9825
Fe3 0.7068 0.8516 0.5046
Fe4 0.8685 0.5127 0.8270
```

---

Entry 7:
A plane-wave DFT calculation with PBE was carried out for crystalline Rb2AsAu2 at its relaxed geometry.

Properties
**Formation enthalpy at 0 K**: -0.1854 eV per atom
**E above lowest polymorph**: 106 meV/atom

```
data_Rb2AsAu2
_cell_length_a 7.2117
_cell_length_b 7.2117
_cell_length_c 5.5684
_cell_angle_alpha 90.00
_cell_angle_beta 90.00
_cell_angle_gamma 90.00
_space_group_name_H-M_alt 'P 4/m b m'
_space_group_IT_number 127
_space_group_name_Hall '-P 4 2ab'
loop_
_atom_site_label
_atom_site_fract_x
_atom_site_fract_y
_atom_site_fract_z
Rb1 0.1755 0.3245 0.0000
As1 0.0000 0.0000 0.5000
Au1 0.1442 0.6442 0.5000
```

---

Entry 8:
A plane-wave DFT calculation with PBE was carried out for crystalline PmTcSn at its relaxed geometry.

Properties
**Formation enthalpy at 0 K**: -0.1392 eV per atom

```
data_PmTcSn
_cell_length_a 3.5268
_cell_length_b 3.5268
_cell_length_c 10.8596
_cell_angle_alpha 90.00
_cell_angle_beta 90.00
_cell_angle_gamma 90.00
_space_group_name_H-M_alt 'I 4 m m'
_space_group_IT_number 107
_space_group_name_Hall 'I 4 -2'
loop_
_atom_site_label
_atom_site_fract_x
_atom_site_fract_y
_atom_site_fract_z
Pm1 0.0000 0.0000 0.0000
Tc1 0.0000 0.0000 0.3235
Sn1 0.0000 0.0000 0.7088
```

---

Entry 9:
A plane-wave DFT calculation with PBE was carried out for crystalline AlTl2Fe at its relaxed geometry.

Properties
**Formation enthalpy at 0 K**: 0.5796 eV per atom
**E above lowest polymorph**: 310 meV/atom

```
data_AlTl2Fe
_cell_length_a 6.5543
_cell_length_b 8.4675
_cell_length_c 3.0555
_cell_angle_alpha 90.00
_cell_angle_beta 90.00
_cell_angle_gamma 90.00
_space_group_name_H-M_alt 'C m m m'
_space_group_IT_number 65
_space_group_name_Hall '-C 2 2'
loop_
_atom_site_label
_atom_site_fract_x
_atom_site_fract_y
_atom_site_fract_z
Al1 0.0000 0.0000 0.0000
Tl1 0.2500 0.2500 0.5000
Fe1 0.0000 0.5000 0.0000
```

---

Entry 10:
A plane-wave DFT calculation with PBE was carried out for crystalline Tb5SiS4 at its relaxed geometry.

Properties
**ΔE_f (raw)**: -1806 meV/atom

```
data_Tb5SiS4
_cell_length_a 8.9101
_cell_length_b 8.9101
_cell_length_c 5.6102
_cell_angle_alpha 90.00
_cell_angle_beta 90.00
_cell_angle_gamma 90.00
_space_group_name_H-M_alt 'I 4/m'
_space_group_IT_number 87
_space_group_name_Hall '-I 4'
loop_
_atom_site_label
_atom_site_fract_x
_atom_site_fract_y
_atom_site_fract_z
Tb1 0.0000 0.0000 0.0000
Tb2 0.0988 0.7020 0.5000
Si1 0.0000 0.0000 0.5000
S1 0.1004 0.6984 0.0000
```

---

Entry 11:
A plane-wave DFT calculation with PBE was carried out for crystalline SnPF3 at its relaxed geometry.

Properties
**ΔE_f (raw)**: -913 meV/atom
**E above lowest polymorph**: 165 meV/atom

```
data_SnPF3
_cell_length_a 4.3481
_cell_length_b 4.3481
_cell_length_c 4.3481
_cell_angle_alpha 90.00
_cell_angle_beta 90.00
_cell_angle_gamma 90.00
_space_group_name_H-M_alt 'P m -3 m'
_space_group_IT_number 221
_space_group_name_Hall '-P 4 2 3'
loop_
_atom_site_label
_atom_site_fract_x
_atom_site_fract_y
_atom_site_fract_z
Sn1 0.0000 0.0000 0.0000
P1 0.5000 0.5000 0.5000
F1 0.0000 0.5000 0.5000
```

---

Entry 12:
A plane-wave DFT calculation with PBE was carried out for crystalline SbC3N at its relaxed geometry.

Properties
**ΔE_f (raw)**: 4077 meV/atom
**E above lowest polymorph**: 946 meV/atom

```
data_SbC3N
_cell_length_a 4.2270
_cell_length_b 4.2270
_cell_length_c 4.2270
_cell_angle_alpha 90.00
_cell_angle_beta 90.00
_cell_angle_gamma 90.00
_space_group_name_H-M_alt 'P m -3 m'
_space_group_IT_number 221
_space_group_name_Hall '-P 4 2 3'
loop_
_atom_site_label
_atom_site_fract_x
_atom_site_fract_y
_atom_site_fract_z
Sb1 0.0000 0.0000 0.0000
C1 0.0000 0.0000 0.5000
N1 0.5000 0.5000 0.5000
```

---

Entry 13:
A plane-wave DFT calculation with PBE was carried out for crystalline CeHgPd at its relaxed geometry.

Properties
**Formation enthalpy at 0 K**: -0.5907 eV per atom
**E above lowest polymorph**: 14 meV/atom

```
data_CeHgPd
_cell_length_a 7.3362
_cell_length_b 4.2345
_cell_length_c 8.9022
_cell_angle_alpha 90.00
_cell_angle_beta 90.00
_cell_angle_gamma 90.00
_space_group_name_H-M_alt 'P n m a'
_space_group_IT_number 62
_space_group_name_Hall '-P 2ac 2n'
loop_
_atom_site_label
_atom_site_fract_x
_atom_site_fract_y
_atom_site_fract_z
Ce1 0.0522 0.2500 0.1908
Hg1 0.1426 0.2500 0.5602
Pd1 0.2290 0.2500 0.8707
```

---

Entry 14:
A plane-wave DFT calculation with PBE was carried out for crystalline BaPS2 at its relaxed geometry.

Properties
**ΔE_f (raw)**: -591 meV/atom

```
data_BaPS2
_cell_length_a 5.8714
_cell_length_b 5.8714
_cell_length_c 13.9993
_cell_angle_alpha 90.00
_cell_angle_beta 90.00
_cell_angle_gamma 90.00
_space_group_name_H-M_alt 'I -4 2 d'
_space_group_IT_number 122
_space_group_name_Hall 'I -4 2bw'
loop_
_atom_site_label
_atom_site_fract_x
_atom_site_fract_y
_atom_site_fract_z
Ba1 0.0000 0.0000 0.0000
P1 0.0000 0.0000 0.5000
S1 0.1451 0.2500 0.6250
```

---

Entry 15:
A plane-wave DFT calculation with PBE was carried out for crystalline Mn2HgCl at its relaxed geometry.

Properties
**ΔE_f (raw)**: 68 meV/atom
**E above lowest polymorph**: 3 meV/atom

```
data_Mn2HgCl
_cell_length_a 3.1449
_cell_length_b 3.1449
_cell_length_c 8.3656
_cell_angle_alpha 90.00
_cell_angle_beta 90.00
_cell_angle_gamma 90.00
_space_group_name_H-M_alt 'P 4 m m'
_space_group_IT_number 99
_space_group_name_Hall 'P 4 -2'
loop_
_atom_site_label
_atom_site_fract_x
_atom_site_fract_y
_atom_site_fract_z
Mn1 0.0000 0.0000 0.0000
Mn2 0.5000 0.5000 0.2056
Hg1 0.5000 0.5000 0.7832
Cl1 0.0000 0.0000 0.3649
```

---

Entry 16:
A plane-wave DFT calculation with PBE was carried out for crystalline Cd2SiHg at its relaxed geometry.

Properties
**ΔE_f (raw)**: 261 meV/atom
**E above lowest polymorph**: 15 meV/atom

```
data_Cd2SiHg
_cell_length_a 2.9307
_cell_length_b 2.9307
_cell_length_c 35.9600
_cell_angle_alpha 90.00
_cell_angle_beta 90.00
_cell_angle_gamma 120.00
_space_group_name_H-M_alt 'R 3 m'
_space_group_IT_number 160
_space_group_name_Hall 'R 3 -2"'
loop_
_atom_site_label
_atom_site_fract_x
_atom_site_fract_y
_atom_site_fract_z
Cd1 0.0000 0.0000 0.0000
Cd2 0.0000 0.0000 0.2464
Si1 0.0000 0.0000 0.5053
Hg1 0.0000 0.0000 0.7566
```

---

Entry 17:
A plane-wave DFT calculation with PBE was carried out for crystalline SrCrS2 at its relaxed geometry.

Properties
**ΔE_f (raw)**: -802 meV/atom
**E above lowest polymorph**: 53 meV/atom

```
data_SrCrS2
_cell_length_a 4.3858
_cell_length_b 4.3858
_cell_length_c 22.5963
_cell_angle_alpha 90.00
_cell_angle_beta 90.00
_cell_angle_gamma 120.00
_space_group_name_H-M_alt 'R -3 m'
_space_group_IT_number 166
_space_group_name_Hall '-R 3 2"'
loop_
_atom_site_label
_atom_site_fract_x
_atom_site_fract_y
_atom_site_fract_z
Sr1 0.0000 0.0000 0.0000
Cr1 0.0000 0.0000 0.5000
S1 0.0000 0.0000 0.4018
```

---

Entry 18:
A plane-wave DFT calculation with PBE was carried out for crystalline PmSmPaIn at its relaxed geometry.

Properties
**Formation enthalpy at 0 K**: 0.1266 eV per atom

```
data_PmSmPaIn
_cell_length_a 7.6719
_cell_length_b 7.6719
_cell_length_c 7.6719
_cell_angle_alpha 90.00
_cell_angle_beta 90.00
_cell_angle_gamma 90.00
_space_group_name_H-M_alt 'F -4 3 m'
_space_group_IT_number 216
_space_group_name_Hall 'F -4 2 3'
loop_
_atom_site_label
_atom_site_fract_x
_atom_site_fract_y
_atom_site_fract_z
Pm1 0.0000 0.0000 0.0000
Sm1 0.0000 0.0000 0.5000
Pa1 0.2500 0.2500 0.7500
In1 0.2500 0.2500 0.2500
```

---

Entry 19:
A plane-wave DFT calculation with PBE was carried out for crystalline Rb2TlBi2O6 at its relaxed geometry.

Properties
**ΔE_f (raw)**: -1106 meV/atom

```
data_Rb2TlBi2O6
_cell_length_a 6.1237
_cell_length_b 10.7762
_cell_length_c 6.9667
_cell_angle_alpha 90.00
_cell_angle_beta 105.74
_cell_angle_gamma 90.00
_space_group_name_H-M_alt 'C 1 2/m 1'
_space_group_IT_number 12
_space_group_name_Hall '-C 2y'
loop_
_atom_site_label
_atom_site_fract_x
_atom_site_fract_y
_atom_site_fract_z
Rb1 0.0000 0.1633 0.0000
Tl1 0.0000 0.0000 0.5000
Bi1 0.0000 0.3327 0.5000
O1 0.2204 0.1764 0.6748
O2 0.2432 0.5000 0.6726
```

---

Entry 20:
A plane-wave DFT calculation with PBE was carried out for crystalline La3YI at its relaxed geometry.

Properties
**ΔE_f (raw)**: -6 meV/atom
**E above lowest polymorph**: 0 meV/atom

```
data_La3YI
_cell_length_a 5.9675
_cell_length_b 5.9675
_cell_length_c 5.9675
_cell_angle_alpha 90.00
_cell_angle_beta 90.00
_cell_angle_gamma 90.00
_space_group_name_H-M_alt 'P m -3 m'
_space_group_IT_number 221
_space_group_name_Hall '-P 4 2 3'
loop_
_atom_site_label
_atom_site_fract_x
_atom_site_fract_y
_atom_site_fract_z
La1 0.0000 0.0000 0.5000
Y1 0.5000 0.5000 0.5000
I1 0.0000 0.0000 0.0000
```